Density functional theory data (PBE with a Hubbard U) for Be2MoPO after structural relaxation.

abc: 3.3505 3.3505 5.6657
angles: 90.00 90.00 90.00
Positions (direct):
Be1 0.0000 0.5000 0.0000
Be2 0.5000 0.0000 0.0000
Mo1 0.0000 0.0000 0.5000
P1 0.5000 0.5000 0.5000
O1 0.5000 0.5000 0.0000

M_tot (μB/f.u.): 1.2
Total energy (eV/f.u.): -25.61